(1)
# PBE HfZr2Pd6, optimized geometry
# - Crystal system: monoclinic
data_HfZr2Pd6
_chemical_formula_sum 'Hf2 Zr4 Pd12'
_cell_length_a 12.976
_cell_length_b 8.460
_cell_length_c 2.944
_cell_angle_alpha 90.00
_cell_angle_beta 103.03
_cell_angle_gamma 90.00
_symmetry_space_group_name_H-M 'C 1 2/m 1'
_symmetry_Int_Tables_number 12
loop_
_symmetry_equiv_pos_as_xyz
'x,y,z'
'-x,-y,-z'
'-x,y,-z'
'x,-y,z'
'x+1/2,y+1/2,z'
'-x+1/2,-y+1/2,-z'
'-x+1/2,y+1/2,-z'
'x+1/2,-y+1/2,z'
loop_
_atom_site_label
_atom_site_type_symbol
_atom_site_fract_x
_atom_site_fract_y
_atom_site_fract_z
_atom_site_occupancy
Hf1 Hf 0.000 0.000 0.000 1
Zr1 Zr 0.157 0.500 0.158 1
Pd1 Pd 0.000 0.313 0.500 1
Pd2 Pd 0.176 0.168 0.176 1

(2)
# PBE HfZr5Pd6, optimized geometry
# - Crystal system: triclinic
data_HfZr5Pd6
_chemical_formula_sum 'Hf1 Zr5 Pd6'
_cell_length_a 4.657
_cell_length_b 7.169
_cell_length_c 7.915
_cell_angle_alpha 116.89
_cell_angle_beta 105.46
_cell_angle_gamma 90.07
_symmetry_space_group_name_H-M 'P -1'
_symmetry_Int_Tables_number 2
loop_
_symmetry_equiv_pos_as_xyz
'x,y,z'
'-x,-y,-z'
loop_
_atom_site_label
_atom_site_type_symbol
_atom_site_fract_x
_atom_site_fract_y
_atom_site_fract_z
_atom_site_occupancy
Hf1 Hf 0.000 0.000 0.000 1
Zr1 Zr 0.000 0.500 0.000 1
Zr2 Zr 0.331 0.814 0.628 1
Zr3 Zr 0.344 0.354 0.707 1
Pd1 Pd 0.148 0.385 0.330 1
Pd2 Pd 0.148 0.945 0.331 1
Pd3 Pd 0.500 0.208 0.000 1

(3)
# PBE HfZrPd, optimized geometry
# - Crystal system: tetragonal
data_HfZrPd
_chemical_formula_sum 'Hf2 Zr2 Pd2'
_cell_length_a 3.315
_cell_length_b 3.315
_cell_length_c 10.871
_cell_angle_alpha 90.00
_cell_angle_beta 90.00
_cell_angle_gamma 90.00
_symmetry_space_group_name_H-M 'I 4 m m'
_symmetry_Int_Tables_number 107
_symmetry_space_group_name_Hall 'I 4 -2'
loop_
_atom_site_label
_atom_site_type_symbol
_atom_site_fract_x
_atom_site_fract_y
_atom_site_fract_z
_atom_site_occupancy
Hf1 Hf 0.000 0.000 0.000 1
Zr1 Zr 0.000 0.000 0.685 1
Pd1 Pd 0.000 0.000 0.351 1

(4)
# PBE Hf2ZrPd3, optimized geometry
# - Crystal system: tetragonal
data_Hf2ZrPd3
_chemical_formula_sum 'Hf2 Zr1 Pd3'
_cell_length_a 3.370
_cell_length_b 3.370
_cell_length_c 9.835
_cell_angle_alpha 90.00
_cell_angle_beta 90.00
_cell_angle_gamma 90.00
_symmetry_space_group_name_H-M 'P 4/m m m'
_symmetry_Int_Tables_number 123
_symmetry_space_group_name_Hall '-P 4 2'
loop_
_atom_site_label
_atom_site_type_symbol
_atom_site_fract_x
_atom_site_fract_y
_atom_site_fract_z
_atom_site_occupancy
Hf1 Hf 0.000 0.000 0.167 1
Zr1 Zr 0.000 0.000 0.500 1
Pd1 Pd 0.500 0.500 0.000 1
Pd2 Pd 0.500 0.500 0.315 1

(5)
# PBE HfZrPd, optimized geometry
# - Crystal system: tetragonal
data_HfZrPd
_chemical_formula_sum 'Hf2 Zr2 Pd2'
_cell_length_a 4.541
_cell_length_b 4.541
_cell_length_c 6.592
_cell_angle_alpha 90.00
_cell_angle_beta 90.00
_cell_angle_gamma 90.00
_symmetry_space_group_name_H-M 'P 42/m m c'
_symmetry_Int_Tables_number 131
_symmetry_space_group_name_Hall '-P 4c 2'
loop_
_atom_site_label
_atom_site_type_symbol
_atom_site_fract_x
_atom_site_fract_y
_atom_site_fract_z
_atom_site_occupancy
Hf1 Hf 0.000 0.500 0.000 1
Zr1 Zr 0.000 0.500 0.500 1
Pd1 Pd 0.000 0.000 0.250 1

(6)
# PBE HfZrPd3, optimized geometry
# - Crystal system: monoclinic
data_HfZrPd3
_chemical_formula_sum 'Hf4 Zr4 Pd12'
_cell_length_a 9.940
_cell_length_b 3.863
_cell_length_c 9.260
_cell_angle_alpha 90.00
_cell_angle_beta 91.21
_cell_angle_gamma 90.00
_symmetry_space_group_name_H-M 'C 1 2/m 1'
_symmetry_Int_Tables_number 12
loop_
_symmetry_equiv_pos_as_xyz
'x,y,z'
'-x,-y,-z'
'-x,y,-z'
'x,-y,z'
'x+1/2,y+1/2,z'
'-x+1/2,-y+1/2,-z'
'-x+1/2,y+1/2,-z'
'x+1/2,-y+1/2,z'
loop_
_atom_site_label
_atom_site_type_symbol
_atom_site_fract_x
_atom_site_fract_y
_atom_site_fract_z
_atom_site_occupancy
Hf1 Hf 0.143 0.000 0.072 1
Zr1 Zr 0.144 0.500 0.570 1
Pd1 Pd 0.052 0.000 0.353 1
Pd2 Pd 0.056 0.500 0.861 1
Pd3 Pd 0.249 0.500 0.245 1

(7)
# PBE HfZr2Pd2, optimized geometry
# - Crystal system: orthorhombic
data_HfZr2Pd2
_chemical_formula_sum 'Hf2 Zr4 Pd4'
_cell_length_a 4.370
_cell_length_b 5.585
_cell_length_c 8.353
_cell_angle_alpha 90.00
_cell_angle_beta 90.00
_cell_angle_gamma 90.00
_symmetry_space_group_name_H-M 'I m m m'
_symmetry_Int_Tables_number 71
_symmetry_space_group_name_Hall '-I 2 2'
loop_
_atom_site_label
_atom_site_type_symbol
_atom_site_fract_x
_atom_site_fract_y
_atom_site_fract_z
_atom_site_occupancy
Hf1 Hf 0.000 0.000 0.000 1
Zr1 Zr 0.000 0.500 0.200 1
Pd1 Pd 0.000 0.233 0.500 1

(8)
# PBE Hf2ZrPd6, optimized geometry
# - Crystal system: monoclinic
data_Hf2ZrPd6
_chemical_formula_sum 'Hf4 Zr2 Pd12'
_cell_length_a 14.307
_cell_length_b 7.715
_cell_length_c 2.994
_cell_angle_alpha 90.00
_cell_angle_beta 101.80
_cell_angle_gamma 90.00
_symmetry_space_group_name_H-M 'C 1 2/m 1'
_symmetry_Int_Tables_number 12
loop_
_symmetry_equiv_pos_as_xyz
'x,y,z'
'-x,-y,-z'
'-x,y,-z'
'x,-y,z'
'x+1/2,y+1/2,z'
'-x+1/2,-y+1/2,-z'
'-x+1/2,y+1/2,-z'
'x+1/2,-y+1/2,z'
loop_
_atom_site_label
_atom_site_type_symbol
_atom_site_fract_x
_atom_site_fract_y
_atom_site_fract_z
_atom_site_occupancy
Hf1 Hf 0.167 0.000 0.166 1
Zr1 Zr 0.000 0.500 0.500 1
Pd1 Pd 0.000 0.187 0.000 1
Pd2 Pd 0.167 0.307 0.667 1

Calculated total energy across the listed records, respectively: -7.057 -7.610 -8.409 -7.964 -7.904 -7.484 -7.877 -7.135 eV/atom.
DFT formation energy across the listed records, respectively: -0.590 -0.622 -0.511 -0.625 -0.006 -0.668 -0.390 -0.511 eV/atom.